(1)
Density functional theory data (PBE) for a geometry-optimized RhWSe2 structure.

Cell: 3.045 4.407 9.869 Å, 90.00 90.00 90.00°
Space group Imm2 (No. 44)
Inequivalent atoms, fractional coordinates:
Rh 0.000 0.000 0.000 [2 per cell]
W 0.000 0.500 0.250 [2 per cell]
Se 0.000 0.000 0.527 [2 per cell]
Se 0.000 0.500 0.741 [2 per cell]

Calculated values
Crystal system: orthorhombic
Formation energy (no corrections), eV/f.u.: 1.25
Theoretical density, g cm⁻³: 11.1
Total magnetic moment, μB per formula unit: 0.00

=====

(2)
Density functional theory data (PBE) for a geometry-optimized RhWSe2 structure.

Cell: 6.335 6.335 6.335 Å, 90.00 90.00 90.00°
Space group Fm-3m (No. 225)
Inequivalent atoms, fractional coordinates:
Rh 0.000 0.000 0.000 [4 per cell]
W 0.000 0.000 0.500 [4 per cell]
Se 0.250 0.250 0.250 [8 per cell]

Calculated values
Crystal system: cubic
Formation energy (no corrections), eV/f.u.: 1.08
Theoretical density, g cm⁻³: 11.6
Total magnetic moment, μB per formula unit: 0.00

=====

(3)
Density functional theory data (PBE) for a geometry-optimized RhWSe2 structure.

Cell: 3.174 3.174 6.329 Å, 90.00 90.00 90.00°
Space group P4/mmm (No. 123)
Inequivalent atoms, fractional coordinates:
Rh 0.000 0.000 0.000 [1 per cell]
W 0.000 0.000 0.500 [1 per cell]
Se 0.500 0.500 0.260 [2 per cell]

Calculated values
Crystal system: tetragonal
Formation energy (no corrections), eV/f.u.: 0.61
Theoretical density, g cm⁻³: 11.6
Total magnetic moment, μB per formula unit: 0.00

=====

Results for Fermi-level density of states: 3.06, 4.59, 4.22 (in states/eV/f.u., following the order of the records).
Results for polymorph energy (0 for the lowest one): 0.5314, 0.4879, 0.3694 (in eV/atom, following the order of the records).